# 1
VASP calculation (SCAN) on a crystal of CoTe2Se relaxed with PBEsol.

Cell and atoms, written as CIF:
```
data_CoTe2Se
_chemical_formula_sum 'Co2 Te4 Se2'
_cell_length_a 6.5880
_cell_length_b 3.6211
_cell_length_c 7.1383
_cell_angle_alpha 90.00
_cell_angle_beta 100.84
_cell_angle_gamma 90.00
_symmetry_space_group_name_H-M 'C 1 2/m 1'
_symmetry_Int_Tables_number 12
_symmetry_space_group_name_Hall '-C 2y'
loop_
_atom_site_label
_atom_site_type_symbol
_atom_site_fract_x
_atom_site_fract_y
_atom_site_fract_z
Co1 Co 0.0000 0.0000 0.0000
Te1 Te 0.2093 0.5000 0.1923
Se1 Se 0.0000 0.5000 0.5000
```

## Properties
Uncorrected formation energy ... 0.14 eV/f.u.
M_tot ... 0.00 μB/f.u.
DOS(E_F) ... 4.90 states/eV/cell
E_tot ... -27.936 eV per atom

***

# 2
VASP calculation (SCAN) on a crystal of Rb7VSiO8 relaxed with PBEsol.

Cell and atoms, written as CIF:
```
data_Rb7VSiO8
_chemical_formula_sum 'Rb28 V4 Si4 O32'
_cell_length_a 6.3737
_cell_length_b 10.3014
_cell_length_c 20.6351
_cell_angle_alpha 90.00
_cell_angle_beta 93.42
_cell_angle_gamma 90.00
_symmetry_space_group_name_H-M 'P 1 c 1'
_symmetry_Int_Tables_number 7
_symmetry_space_group_name_Hall 'P -2yc'
loop_
_atom_site_label
_atom_site_type_symbol
_atom_site_fract_x
_atom_site_fract_y
_atom_site_fract_z
Rb1 Rb 0.0000 0.0445 0.0000
Rb2 Rb 0.0020 0.3623 0.3401
Rb3 Rb 0.1036 0.2604 0.1626
Rb4 Rb 0.1135 0.4126 0.9906
Rb5 Rb 0.3210 0.0920 0.7592
Rb6 Rb 0.3347 0.2524 0.5903
Rb7 Rb 0.4275 0.1363 0.3965
Rb8 Rb 0.4408 0.4532 0.7336
Rb9 Rb 0.4972 0.1823 0.9160
Rb10 Rb 0.6274 0.4251 0.0681
Rb11 Rb 0.6437 0.2030 0.2401
Rb12 Rb 0.8033 0.2823 0.5080
Rb13 Rb 0.8253 0.0867 0.6847
Rb14 Rb 0.9331 0.3055 0.8222
V1 V 0.5007 0.4738 0.3992
V2 V 0.5082 0.0912 0.0782
Si1 Si 0.9347 0.4079 0.6655
Si2 Si 0.9383 0.0307 0.3448
O1 O 0.0350 0.1089 0.2821
O2 O 0.0414 0.4698 0.6006
O3 O 0.0929 0.2945 0.6986
O4 O 0.1090 0.0806 0.8734
O5 O 0.3213 0.4114 0.8719
O6 O 0.3469 0.2118 0.0455
O7 O 0.3994 0.0294 0.1456
O8 O 0.4052 0.3903 0.4638
O9 O 0.5369 0.3689 0.3366
O10 O 0.5400 0.0298 0.5223
O11 O 0.7045 0.3396 0.6419
O12 O 0.7127 0.0394 0.8183
O13 O 0.7330 0.4511 0.9256
O14 O 0.7491 0.1593 0.1007
O15 O 0.8923 0.4741 0.2181
O16 O 0.8978 0.1347 0.4041
```

## Properties
Uncorrected formation energy ... -38.62 eV/f.u.
M_tot ... 0.17 μB/f.u.
DOS(E_F) ... 0.00 states/eV/cell
E_tot ... -15.362 eV per atom

***

# 3
VASP calculation (SCAN) on a crystal of MgMnOs2 relaxed with PBEsol.

Cell and atoms, written as CIF:
```
data_MgMnOs2
_chemical_formula_sum 'Mg2 Mn2 Os4'
_cell_length_a 3.8080
_cell_length_b 3.8080
_cell_length_c 7.5795
_cell_angle_alpha 90.00
_cell_angle_beta 90.00
_cell_angle_gamma 90.00
_symmetry_space_group_name_H-M 'I 4/m m m'
_symmetry_Int_Tables_number 139
_symmetry_space_group_name_Hall '-I 4 2'
loop_
_atom_site_label
_atom_site_type_symbol
_atom_site_fract_x
_atom_site_fract_y
_atom_site_fract_z
Mg1 Mg 0.0000 0.0000 0.0000
Mn1 Mn 0.0000 0.0000 0.5000
Os1 Os 0.0000 0.5000 0.2500
```

## Properties
M_tot ... 1.42 μB/f.u.
DOS(E_F) ... 5.44 states/eV/cell
E_tot ... -41.607 eV per atom

***

# 4
VASP calculation (SCAN) on a crystal of CuPdS2Cl relaxed with PBEsol.

Cell and atoms, written as CIF:
```
data_CuPdS2Cl
_chemical_formula_sum 'Cu1 Pd1 S2 Cl1'
_cell_length_a 4.6108
_cell_length_b 4.6108
_cell_length_c 4.7180
_cell_angle_alpha 90.00
_cell_angle_beta 90.00
_cell_angle_gamma 90.00
_symmetry_space_group_name_H-M 'P 4/m m m'
_symmetry_Int_Tables_number 123
_symmetry_space_group_name_Hall '-P 4 2'
loop_
_atom_site_label
_atom_site_type_symbol
_atom_site_fract_x
_atom_site_fract_y
_atom_site_fract_z
Cu1 Cu 0.0000 0.0000 0.0000
Pd1 Pd 0.5000 0.5000 0.5000
S1 S 0.0000 0.5000 0.5000
Cl1 Cl 0.5000 0.5000 0.0000
```

## Properties
Uncorrected formation energy ... 2.73 eV/f.u.
M_tot ... 0.00 μB/f.u.
DOS(E_F) ... 6.10 states/eV/cell
E_tot ... -14.495 eV per atom

***

# 5
VASP calculation (SCAN) on a crystal of Sc2IrRh relaxed with PBEsol.

Cell and atoms, written as CIF:
```
data_Sc2IrRh
_chemical_formula_sum 'Sc2 Ir1 Rh1'
_cell_length_a 3.1465
_cell_length_b 3.1465
_cell_length_c 6.5300
_cell_angle_alpha 90.00
_cell_angle_beta 90.00
_cell_angle_gamma 90.00
_symmetry_space_group_name_H-M 'P 4/m m m'
_symmetry_Int_Tables_number 123
_symmetry_space_group_name_Hall '-P 4 2'
loop_
_atom_site_label
_atom_site_type_symbol
_atom_site_fract_x
_atom_site_fract_y
_atom_site_fract_z
Sc1 Sc 0.0000 0.0000 0.2505
Ir1 Ir 0.5000 0.5000 0.0000
Rh1 Rh 0.5000 0.5000 0.5000
```

## Properties
M_tot ... 0.00 μB/f.u.
DOS(E_F) ... 1.11 states/eV/cell
E_tot ... -34.546 eV per atom

***

# 6
VASP calculation (SCAN) on a crystal of LaSiHg2 relaxed with PBEsol.

Cell and atoms, written as CIF:
```
data_LaSiHg2
_chemical_formula_sum 'La3 Si3 Hg6'
_cell_length_a 4.5199
_cell_length_b 4.5199
_cell_length_c 16.1561
_cell_angle_alpha 90.00
_cell_angle_beta 90.00
_cell_angle_gamma 120.00
_symmetry_space_group_name_H-M 'R -3 m'
_symmetry_Int_Tables_number 166
_symmetry_space_group_name_Hall '-R 3 2"'
loop_
_atom_site_label
_atom_site_type_symbol
_atom_site_fract_x
_atom_site_fract_y
_atom_site_fract_z
La1 La 0.0000 0.0000 0.0000
Si1 Si 0.0000 0.0000 0.5000
Hg1 Hg 0.0000 0.0000 0.2261
```

## Properties
Uncorrected formation energy ... -1.59 eV/f.u.
M_tot ... 0.00 μB/f.u.
DOS(E_F) ... 4.36 states/eV/cell
E_tot ... -47.762 eV per atom

***

# 7
VASP calculation (SCAN) on a crystal of KLaNbGe2 relaxed with PBEsol.

Cell and atoms, written as CIF:
```
data_KLaNbGe2
_chemical_formula_sum 'K1 La1 Nb1 Ge2'
_cell_length_a 5.2235
_cell_length_b 5.2235
_cell_length_c 4.7005
_cell_angle_alpha 90.00
_cell_angle_beta 90.00
_cell_angle_gamma 90.00
_symmetry_space_group_name_H-M 'P 4/m m m'
_symmetry_Int_Tables_number 123
_symmetry_space_group_name_Hall '-P 4 2'
loop_
_atom_site_label
_atom_site_type_symbol
_atom_site_fract_x
_atom_site_fract_y
_atom_site_fract_z
K1 K 0.0000 0.0000 0.0000
La1 La 0.5000 0.5000 0.5000
Nb1 Nb 0.0000 0.0000 0.5000
Ge1 Ge 0.0000 0.5000 0.0000
```

## Properties
M_tot ... 3.27 μB/f.u.
DOS(E_F) ... 4.37 states/eV/cell
E_tot ... -23.183 eV per atom

***

# 8
VASP calculation (SCAN) on a crystal of Li2SbPb relaxed with PBEsol.

Cell and atoms, written as CIF:
```
data_Li2SbPb
_chemical_formula_sum 'Li4 Sb2 Pb2'
_cell_length_a 9.2215
_cell_length_b 3.2475
_cell_length_c 6.0152
_cell_angle_alpha 90.00
_cell_angle_beta 100.74
_cell_angle_gamma 90.00
_symmetry_space_group_name_H-M 'C 1 2/m 1'
_symmetry_Int_Tables_number 12
_symmetry_space_group_name_Hall '-C 2y'
loop_
_atom_site_label
_atom_site_type_symbol
_atom_site_fract_x
_atom_site_fract_y
_atom_site_fract_z
Li1 Li 0.2462 0.0000 0.2294
Sb1 Sb 0.0000 0.5000 0.0000
Pb1 Pb 0.0000 0.0000 0.5000
```

## Properties
Uncorrected formation energy ... -1.37 eV/f.u.
M_tot ... 0.00 μB/f.u.
DOS(E_F) ... 2.39 states/eV/cell
E_tot ... -29.798 eV per atom

***

# 9
VASP calculation (SCAN) on a crystal of MgCl2 relaxed with PBEsol.

Cell and atoms, written as CIF:
```
data_MgCl2
_chemical_formula_sum 'Mg3 Cl6'
_cell_length_a 3.6254
_cell_length_b 3.6254
_cell_length_c 18.1654
_cell_angle_alpha 90.00
_cell_angle_beta 90.00
_cell_angle_gamma 120.00
_symmetry_space_group_name_H-M 'R -3 m'
_symmetry_Int_Tables_number 166
_symmetry_space_group_name_Hall '-R 3 2"'
loop_
_atom_site_label
_atom_site_type_symbol
_atom_site_fract_x
_atom_site_fract_y
_atom_site_fract_z
Mg1 Mg 0.0000 0.0000 0.0000
Cl1 Cl 0.0000 0.0000 0.2581
```

## Properties
Uncorrected formation energy ... -6.29 eV/f.u.
M_tot ... 0.00 μB/f.u.
DOS(E_F) ... 0.00 states/eV/cell
E_tot ... -9.072 eV per atom

***

# 10
VASP calculation (SCAN) on a crystal of H3W relaxed with PBEsol.

Cell and atoms, written as CIF:
```
data_H3W
_chemical_formula_sum 'H6 W2'
_cell_length_a 3.0031
_cell_length_b 3.0090
_cell_length_c 6.4334
_cell_angle_alpha 90.00
_cell_angle_beta 103.32
_cell_angle_gamma 90.00
_symmetry_space_group_name_H-M 'P 1 21/m 1'
_symmetry_Int_Tables_number 11
_symmetry_space_group_name_Hall '-P 2yb'
loop_
_atom_site_label
_atom_site_type_symbol
_atom_site_fract_x
_atom_site_fract_y
_atom_site_fract_z
H1 H 0.0840 0.2500 0.1692
H2 H 0.3280 0.7500 0.6464
H3 H 0.4144 0.2500 0.8317
W1 W 0.1792 0.7500 0.3582
```

## Properties
M_tot ... 0.00 μB/f.u.
DOS(E_F) ... 1.33 states/eV/cell
E_tot ... -19.775 eV per atom

***

# 11
VASP calculation (SCAN) on a crystal of TaAl2Zn relaxed with PBEsol.

Cell and atoms, written as CIF:
```
data_TaAl2Zn
_chemical_formula_sum 'Ta1 Al2 Zn1'
_cell_length_a 2.7889
_cell_length_b 2.7889
_cell_length_c 8.1415
_cell_angle_alpha 90.00
_cell_angle_beta 90.00
_cell_angle_gamma 90.00
_symmetry_space_group_name_H-M 'P 4/m m m'
_symmetry_Int_Tables_number 123
_symmetry_space_group_name_Hall '-P 4 2'
loop_
_atom_site_label
_atom_site_type_symbol
_atom_site_fract_x
_atom_site_fract_y
_atom_site_fract_z
Ta1 Ta 0.0000 0.0000 0.0000
Al1 Al 0.5000 0.5000 0.2539
Zn1 Zn 0.0000 0.0000 0.5000
```

## Properties
M_tot ... 0.00 μB/f.u.
DOS(E_F) ... 1.92 states/eV/cell
E_tot ... -23.998 eV per atom

***

# 12
VASP calculation (SCAN) on a crystal of Cu2PRu relaxed with PBEsol.

Cell and atoms, written as CIF:
```
data_Cu2PRu
_chemical_formula_sum 'Cu4 P2 Ru2'
_cell_length_a 2.6450
_cell_length_b 4.5416
_cell_length_c 8.4475
_cell_angle_alpha 90.00
_cell_angle_beta 90.00
_cell_angle_gamma 90.00
_symmetry_space_group_name_H-M 'C m m m'
_symmetry_Int_Tables_number 65
_symmetry_space_group_name_Hall '-C 2 2'
loop_
_atom_site_label
_atom_site_type_symbol
_atom_site_fract_x
_atom_site_fract_y
_atom_site_fract_z
Cu1 Cu 0.0000 0.0000 0.2412
P1 P 0.0000 0.5000 0.0000
Ru1 Ru 0.0000 0.5000 0.5000
```

## Properties
M_tot ... 1.05 μB/f.u.
DOS(E_F) ... 4.81 states/eV/cell
E_tot ... -18.517 eV per atom